Here is a geometry-optimized LiHfCr2Se6 structure from Alexandria. Energies are from PBE.

Cell: 6.478 6.477 6.927 Å, 62.11 62.12 59.99°
Each line ends with the local moment (μB).
Element x y z (fractional)
Li 0.822 0.822 0.535  0.00
Hf 0.326 0.327 0.021  0.05
Cr 0.505 0.505 0.485  2.82
Cr 0.004 0.004 0.987  2.78
Se 0.603 0.245 0.251  -0.13
Se 0.245 0.902 0.251  -0.13
Se 0.902 0.603 0.251  -0.13
Se 0.402 0.752 0.744  -0.14
Se 0.752 0.102 0.745  -0.14
Se 0.103 0.401 0.745  -0.14

raw formation energy	-0.76	eV per atom
total moment	0.503	μB per atom